1.
# PBE+U KGaCoF6, relaxed
# * size of the total moment: 12.000 μB/cell
# * E: -4.81 eV/atom
# * density of states at the Fermi level: 0.00 states/eV per atom
# * calculated volume: 556.52 Å³/cell
data_KGaCoF6
_chemical_formula_sum 'K4 Ga4 Co4 F24'
_space_group_name_H-M_alt 'I m m a'
_space_group_IT_number 74
_space_group_name_Hall '-I 2b 2'
_cell_length_a 7.200
_cell_length_b 7.408
_cell_length_c 10.434
_cell_angle_alpha 90.00
_cell_angle_beta 90.00
_cell_angle_gamma 90.00
loop_
_atom_site_label
_atom_site_type_symbol
_atom_site_fract_x
_atom_site_fract_y
_atom_site_fract_z
_atom_site_occupancy
K1 K 0.000 0.250 0.100 1
Ga1 Ga 0.000 0.000 0.500 1
Co1 Co 0.250 0.250 0.750 1
F1 F 0.000 0.250 0.442 1
F2 F 0.000 0.250 0.834 1
F3 F 0.191 0.043 0.622 1

***

2.
# PBE+U CaNi2O4, relaxed
# * size of the total moment: 8.000 μB/cell
# * E: -5.21 eV/atom
# * calculated volume: 326.93 Å³/cell
data_CaNi2O4
_chemical_formula_sum 'Ca4 Ni8 O16'
_space_group_name_H-M_alt 'I 41/a'
_space_group_IT_number 88
_cell_length_a 6.193
_cell_length_b 6.193
_cell_length_c 8.525
_cell_angle_alpha 90.00
_cell_angle_beta 90.00
_cell_angle_gamma 90.00
loop_
_space_group_symop_operation_xyz
'x,y,z'
'-x,-y,-z'
'-y+3/4,x+1/4,z+1/4'
'y+3/4,-x+1/4,-z+1/4'
'-x+1/2,-y,z+1/2'
'x+1/2,y,-z+1/2'
'y+3/4,-x+3/4,z+3/4'
'-y+3/4,x+3/4,-z+3/4'
'x+1/2,y+1/2,z+1/2'
'-x+1/2,-y+1/2,-z+1/2'
'-y+1/4,x+3/4,z+3/4'
'y+1/4,-x+3/4,-z+3/4'
'-x,-y+1/2,z'
'x,y+1/2,-z'
'y+1/4,-x+1/4,z+1/4'
'-y+1/4,x+1/4,-z+1/4'
loop_
_atom_site_label
_atom_site_type_symbol
_atom_site_fract_x
_atom_site_fract_y
_atom_site_fract_z
_atom_site_occupancy
Ca1 Ca 0.000 0.250 0.125 1
Ni1 Ni 0.000 0.000 0.500 1
O1 O 0.040 0.031 0.723 1